First-principles (GGA-PBE) data for an optimized crystal structure of LaCe2Pm3N6, as listed in Alexandria.

Crystal system ... monoclinic
E_form (uncorrected) ... -1.454 eV/atom

a = 6.269 Å, b = 10.857 Å, c = 6.256 Å
α = 90.00°, β = 109.53°, γ = 90.00°
Space group C2/m (No. 12)
Unique sites:
La (0.000, 0.000, 0.000) [2 per cell]
Ce (0.000, 0.333, 0.000) [4 per cell]
Pm (0.000, 0.167, 0.500) [4 per cell]
Pm (0.000, 0.500, 0.500) [2 per cell]
N (0.233, 0.500, 0.242) [4 per cell]
N (0.245, 0.326, 0.757) [8 per cell]